Entry 1:
The following is a GGA-PBE calculation of a relaxed structure of NaHg3Ge, from the Alexandria database.

Results
ΔE to the lowest computed polymorph, kJ/mol of atoms: 45.4
E_tot, eV/atom: -0.814
Formation energy from the elements, eV per atom: 0.554
Crystal system: cubic
Space group: Pm-3m

Cell: 5.4208 5.4208 5.4208 Å, 90.00 90.00 90.00°
With the nearest neighbours (Å) after each atom.
Fractional coordinates of all 5 atoms:
Na  0.0000  0.0000  0.0000  6 Hg 2.71
Hg  0.0000  0.0000  0.5000  2 Na 2.71
Hg  0.0000  0.5000  0.0000  2 Na 2.71
Hg  0.5000  0.0000  0.0000  2 Na 2.71
Ge  0.5000  0.5000  0.5000  12 Hg 3.83

=====

Entry 2:
The following is a GGA-PBE calculation of a relaxed structure of LaPr3In, from the Alexandria database.

Results
E_tot, eV/atom: -4.597
Formation energy from the elements, eV per atom: -0.196
Crystal system: orthorhombic
Space group: Cmcm

Cell: 13.3886 13.3886 4.9939 Å, 90.00 90.00 158.49°
With the nearest neighbours (Å) after each atom.
Fractional coordinates of all 10 atoms:
La  0.1526  0.8474  0.7500  4 In 3.53, 8 Pr 3.57-3.63
La  0.8474  0.1526  0.2500  4 In 3.53, 8 Pr 3.57-3.63
Pr  0.0541  0.9459  0.2500  8 Pr 3.53-3.78, 2 La 3.60, 2 In 3.61
Pr  0.2495  0.7505  0.2500  4 Pr 3.53, 4 In 3.56-3.57, 4 La 3.57-3.59
Pr  0.4473  0.5527  0.2500  8 Pr 3.53-3.76, 2 La 3.63, 2 In 3.64
Pr  0.5527  0.4473  0.7500  8 Pr 3.53-3.76, 2 La 3.63, 2 In 3.64
Pr  0.7505  0.2495  0.7500  4 Pr 3.53, 4 In 3.56-3.57, 4 La 3.57-3.59
Pr  0.9459  0.0541  0.7500  8 Pr 3.53-3.78, 2 La 3.60, 2 In 3.61
In  0.3467  0.6533  0.7500  4 La 3.53, 8 Pr 3.56-3.64
In  0.6533  0.3467  0.2500  4 La 3.53, 8 Pr 3.56-3.64

=====

Entry 3:
The following is a GGA-PBE calculation of a relaxed structure of K2DyCuF6, from the Alexandria database.

Results
E_tot, eV/atom: -5.129
Crystal system: orthorhombic
Formation energy without anion corrections, meV/atom: -2916
Space group: Pmmn

Cell: 6.7522 8.1197 6.6856 Å, 90.00 90.00 90.00°
With the nearest neighbours (Å) after each atom.
Fractional coordinates of all 20 atoms:
K  0.2500  0.0098  0.1796  7 F 2.80-3.11
K  0.2500  0.4902  0.1796  7 F 2.80-3.11
K  0.7500  0.5098  0.8204  7 F 2.80-3.11
K  0.7500  0.9902  0.8204  7 F 2.80-3.11
Dy  0.2500  0.2500  0.6937  6 F 2.16-2.19
Dy  0.7500  0.7500  0.3063  6 F 2.16-2.19
Cu  0.2500  0.7500  0.7334  2 F 1.92
Cu  0.7500  0.2500  0.2666  2 F 1.92
F  0.0083  0.2500  0.9120  1 Dy 2.19
F  0.0466  0.2500  0.4439  1 Dy 2.16, 1 Cu 2.33
F  0.2500  0.5141  0.7569  1 Cu 1.92
F  0.2500  0.9859  0.7569  1 Cu 1.92
F  0.4534  0.2500  0.4439  1 Dy 2.16, 1 Cu 2.33
F  0.4917  0.2500  0.9120  1 Dy 2.19
F  0.5083  0.7500  0.0880  1 Dy 2.19
F  0.5466  0.7500  0.5561  1 Dy 2.16, 1 Cu 2.33
F  0.7500  0.0141  0.2431  1 Cu 1.92
F  0.7500  0.4859  0.2431  1 Cu 1.92
F  0.9534  0.7500  0.5561  1 Dy 2.16, 1 Cu 2.33
F  0.9917  0.7500  0.0880  1 Dy 2.19

=====

Entry 4:
The following is a GGA-PBE calculation of a relaxed structure of Zr2ZnGe, from the Alexandria database.

Results
E_tot, eV/atom: -6.122
Formation energy from the elements, eV per atom: -0.375
Crystal system: trigonal
Space group: R-3m

Cell: 7.0858 7.0858 7.0858 Å, 30.89 30.89 30.89°
With the nearest neighbours (Å) after each atom.
Fractional coordinates of all 4 atoms:
Zr  0.2440  0.2440  0.2440  3 Ge 2.68, 3 Zn 2.83
Zr  0.7560  0.7560  0.7560  3 Ge 2.68, 3 Zn 2.83
Zn  0.0000  0.0000  0.0000  6 Zr 2.83
Ge  0.5000  0.5000  0.5000  6 Zr 2.68

=====

Entry 5:
The following is a GGA-PBE calculation of a relaxed structure of CrCuTc2, from the Alexandria database.

Results
ΔE to the lowest computed polymorph, kJ/mol of atoms: 4.9
E_tot, eV/atom: -8.367
Formation energy from the elements, eV per atom: 0.246
Crystal system: trigonal
Space group: R3m

Cell: 8.8875 8.8875 8.8875 Å, 17.32 17.32 17.32°
With the nearest neighbours (Å) after each atom.
Fractional coordinates of all 4 atoms:
Cr  0.0000  0.0000  0.0000  3 Cu 2.61, 6 Cr 2.68, 3 Tc 2.69
Cu  0.7469  0.7469  0.7469  3 Cr 2.61, 6 Cu 2.68, 3 Tc 2.74
Tc  0.2496  0.2496  0.2496  9 Tc 2.67-2.68, 3 Cr 2.69
Tc  0.4998  0.4998  0.4998  9 Tc 2.67-2.68, 3 Cu 2.74

=====

Entry 6:
The following is a GGA-PBE calculation of a relaxed structure of Y2CrSb, from the Alexandria database.

Results
E_tot, eV/atom: -6.905
Crystal system: orthorhombic
Formation energy without anion corrections, meV/atom: -236
Space group: Imm2

Cell: 6.2013 6.2013 6.2013 Å, 142.06 135.71 59.70°
With the nearest neighbours (Å) after each atom.
Fractional coordinates of all 4 atoms:
Y  0.0000  0.0000  0.0000  4 Sb 3.11, 2 Y 3.42, 4 Cr 3.45-3.48
Y  0.7321  0.2321  0.5000  4 Cr 3.11, 2 Sb 3.42, 2 Y 3.42
Cr  0.2641  0.7641  0.5000  2 Sb 2.95, 4 Y 3.11
Sb  0.4637  0.4637  0.0000  2 Cr 2.95, 4 Y 3.11

=====

Entry 7:
The following is a GGA-PBE calculation of a relaxed structure of TbPaTc4, from the Alexandria database.

Results
E_tot, eV/atom: -9.354
Formation energy from the elements, eV per atom: -0.089
Crystal system: cubic
Space group: F-43m

Cell: 5.4018 5.4018 5.4018 Å, 60.00 60.00 60.00°
With the nearest neighbours (Å) after each atom.
Fractional coordinates of all 6 atoms:
Tb  0.0000  0.0000  0.0000  12 Tc 3.17, 4 Pa 3.31
Pa  0.2500  0.2500  0.2500  12 Tc 3.17, 4 Tb 3.31
Tc  0.1244  0.6252  0.6252  6 Tc 2.70
Tc  0.6252  0.1244  0.6252  6 Tc 2.70
Tc  0.6252  0.6252  0.1244  6 Tc 2.70
Tc  0.6252  0.6252  0.6252  6 Tc 2.70

=====

Entry 8:
The following is a GGA-PBE calculation of a relaxed structure of ZrScRh6, from the Alexandria database.

Results
E_tot, eV/atom: -7.915
Formation energy from the elements, eV per atom: -0.541
Crystal system: monoclinic
Space group: C2/m

Cell: 4.8280 4.8280 7.9638 Å, 114.35 114.35 48.72°
With the nearest neighbours (Å) after each atom.
Fractional coordinates of all 8 atoms:
Zr  0.0000  0.0000  0.0000  12 Rh 2.80-2.82
Sc  0.0000  0.0000  0.5000  12 Rh 2.79-2.81
Rh  0.2493  0.2493  0.8737  1 Sc 2.79, 8 Rh 2.79-2.83, 3 Zr 2.80
Rh  0.2510  0.2510  0.3769  8 Rh 2.77-2.82, 3 Sc 2.79, 1 Zr 2.81
Rh  0.4995  0.4995  0.7489  8 Rh 2.77-2.81, 2 Sc 2.81, 2 Zr 2.82
Rh  0.5005  0.5005  0.2511  8 Rh 2.77-2.81, 2 Sc 2.81, 2 Zr 2.82
Rh  0.7490  0.7490  0.6231  8 Rh 2.77-2.82, 3 Sc 2.79, 1 Zr 2.81
Rh  0.7507  0.7507  0.1263  1 Sc 2.79, 8 Rh 2.79-2.83, 3 Zr 2.80

=====

Entry 9:
The following is a GGA-PBE calculation of a relaxed structure of ZrTi4Rh5, from the Alexandria database.

Results
E_tot, eV/atom: -8.444
Formation energy from the elements, eV per atom: -0.755
Crystal system: tetragonal
Space group: P4/mmm

Cell: 3.0944 3.0944 16.2904 Å, 90.00 90.00 90.00°
With the nearest neighbours (Å) after each atom.
Fractional coordinates of all 10 atoms:
Zr  0.0000  0.0000  0.0000  8 Rh 2.98, 4 Zr 3.09
Ti  0.0000  0.0000  0.2116  8 Rh 2.61-2.72
Ti  0.0000  0.0000  0.4050  8 Rh 2.67-2.68
Ti  0.0000  0.0000  0.5950  8 Rh 2.67-2.68
Ti  0.0000  0.0000  0.7884  8 Rh 2.61-2.72
Rh  0.5000  0.5000  0.1243  4 Ti 2.61
Rh  0.5000  0.5000  0.3110  8 Ti 2.67-2.72
Rh  0.5000  0.5000  0.5000  8 Ti 2.68
Rh  0.5000  0.5000  0.6890  8 Ti 2.67-2.72
Rh  0.5000  0.5000  0.8757  4 Ti 2.61

=====

Entry 10:
The following is a GGA-PBE calculation of a relaxed structure of TcTeAs4, from the Alexandria database.

Results
E_tot, eV/atom: -4.524
Crystal system: cubic
Formation energy without anion corrections, meV/atom: 827
Space group: F-43m

Cell: 5.6055 5.6055 5.6055 Å, 60.00 60.00 60.00°
With the nearest neighbours (Å) after each atom.
Fractional coordinates of all 6 atoms:
Tc  0.0000  0.0000  0.0000  12 As 3.28, 4 Te 3.43
Te  0.7500  0.7500  0.7500  12 As 3.29, 4 Tc 3.43
As  0.3730  0.3730  0.3730  6 As 2.76-2.85
As  0.3730  0.3730  0.8811  6 As 2.76-2.85
As  0.3730  0.8811  0.3730  6 As 2.76-2.85
As  0.8811  0.3730  0.3730  6 As 2.76-2.85

=====

Entry 11:
The following is a GGA-PBE calculation of a relaxed structure of Sm3YTl, from the Alexandria database.

Results
ΔE to the lowest computed polymorph, kJ/mol of atoms: 0.0
E_tot, eV/atom: -4.673
Formation energy from the elements, eV per atom: -0.075
Crystal system: monoclinic
Space group: Cm

Cell: 8.6364 8.6364 3.6344 Å, 102.09 102.09 37.49°
With the nearest neighbours (Å) after each atom.
Fractional coordinates of all 5 atoms:
Sm  0.0000  0.0000  0.0000  2 Tl 3.27, 8 Sm 3.55-3.63
Sm  0.1953  0.1953  0.6947  1 Tl 3.13, 2 Sm 3.34
Sm  0.5792  0.5792  0.5792  8 Sm 3.34-3.63, 2 Tl 3.50
Y  0.7920  0.7920  0.2914  2 Y 3.63, 8 Sm 3.66-3.85, 4 Tl 3.67-3.69
Tl  0.3916  0.3916  0.8944  5 Sm 3.13-3.50

=====

Entry 12:
The following is a GGA-PBE calculation of a relaxed structure of Er5TmTl6, from the Alexandria database.

Results
ΔE to the lowest computed polymorph, kJ/mol of atoms: 0.0
E_tot, eV/atom: -3.764
Formation energy from the elements, eV per atom: -0.307
Crystal system: orthorhombic
Space group: Cmmm

Cell: 8.4884 8.4884 7.4095 Å, 90.00 90.00 143.11°
With the nearest neighbours (Å) after each atom.
Fractional coordinates of all 12 atoms:
Er  0.0000  0.0000  0.0000  8 Tl 3.26
Er  0.3330  0.6670  0.0000  8 Tl 3.26-3.27
Er  0.3334  0.6666  0.5000  8 Tl 3.26
Er  0.6670  0.3330  0.0000  8 Tl 3.26-3.27
Er  0.6666  0.3334  0.5000  8 Tl 3.26
Tm  0.0000  0.0000  0.5000  8 Tl 3.26
Tl  0.1664  0.8336  0.2505  1 Tm 3.26, 7 Er 3.26
Tl  0.1664  0.8336  0.7495  1 Tm 3.26, 7 Er 3.26
Tl  0.5000  0.5000  0.2505  6 Er 3.26-3.27, 2 Tm 3.26
Tl  0.5000  0.5000  0.7495  6 Er 3.26-3.27, 2 Tm 3.26
Tl  0.8336  0.1664  0.2505  1 Tm 3.26, 7 Er 3.26
Tl  0.8336  0.1664  0.7495  1 Tm 3.26, 7 Er 3.26

=====

Entry 13:
The following is a GGA-PBE calculation of a relaxed structure of NdSm2Br, from the Alexandria database.

Results
ΔE to the lowest computed polymorph, kJ/mol of atoms: 20.7
E_tot, eV/atom: -4.276
Crystal system: trigonal
Formation energy without anion corrections, meV/atom: -306
Space group: R-3m

Cell: 11.8565 11.8565 11.8565 Å, 17.19 17.19 17.19°
With the nearest neighbours (Å) after each atom.
Fractional coordinates of all 4 atoms:
Nd  0.0000  0.0000  0.0000  2 Sm 3.45, 6 Nd 3.54
Sm  0.0983  0.0983  0.0983  3 Br 3.15, 1 Nd 3.45
Sm  0.9017  0.9017  0.9017  3 Br 3.15, 1 Nd 3.45
Br  0.5000  0.5000  0.5000  6 Sm 3.15